[1]
Computed, not measured: crystalline SrLaNiAg at its relaxed geometry at the PBE-GGA level of DFT.

Structure (POSCAR):
```
SrLaNiAg
1.0
0.000 3.729 3.729
3.729 0.000 3.729
3.729 3.729 0.000
Sr La Ni Ag
1 1 1 1
direct
0.000 0.000 0.000
0.500 0.500 0.500
0.750 0.750 0.750
0.250 0.250 0.250
```

Calculated values
- electronic total energy (eV per atom) = -3.918
- space group = F-43m
- total magnetic moment (μB per formula unit) = 0.00


[2]
Computed, not measured: crystalline Li3MgGa4 at its relaxed geometry at the PBE-GGA level of DFT.

Structure (POSCAR):
```
Li3MgGa4
1.0
-1.500 3.460 6.811
1.500 -3.460 6.811
1.500 3.460 -6.811
Li Mg Ga
3 1 4
direct
0.000 0.000 0.000
0.322 0.822 0.500
0.678 0.178 0.500
0.500 0.500 0.000
0.040 0.349 0.691
0.342 0.651 0.691
0.658 0.349 0.309
0.960 0.651 0.309
```

Calculated values
- space group = Immm
- energy above the lowest structure with this stoichiometry (eV/atom) = 0.1167
- total magnetic moment (μB per formula unit) = 0.00